[1]
# Rb2MnBS4, relaxed, DFT PBE
# space-group type: Fddd, No. 70
# N(E_F): 0.47 states/eV per atom
# total magnetic moment: 8.00 μB per cell
# raw formation energy: -6.41 eV/f.u.
# final energy: -5.09 eV per atom
data_Rb2MnBS4
_cell_length_a 5.607
_cell_length_b 7.291
_cell_length_c 11.931
_cell_angle_alpha 84.82
_cell_angle_beta 76.41
_cell_angle_gamma 67.38
_symmetry_space_group_name_H-M 'P 1'
_symmetry_Int_Tables_number 1
loop_
_symmetry_equiv_pos_as_xyz
'x,y,z'
loop_
_atom_site_label
_atom_site_type_symbol
_atom_site_fract_x
_atom_site_fract_y
_atom_site_fract_z
Rb1 Rb 0.177 0.000 0.646
Rb2 Rb 0.823 0.000 0.354
Rb3 Rb 0.573 0.500 0.854
Rb4 Rb 0.927 0.500 0.146
Mn1 Mn 0.750 0.500 0.500
Mn2 Mn 0.000 0.000 0.000
B1 B 0.250 0.500 0.500
B2 B 0.500 0.000 0.000
S1 S 0.331 0.830 0.093
S2 S 0.254 0.170 0.907
S3 S 0.839 0.830 0.907
S4 S 0.576 0.170 0.093
S5 S 0.419 0.670 0.407
S6 S 0.496 0.330 0.593
S7 S 0.911 0.670 0.593
S8 S 0.174 0.330 0.407

[2]
# Rb2MnBSe4, relaxed, DFT PBE
# space-group type: Fddd, No. 70
# N(E_F): 0.45 states/eV per atom
# total magnetic moment: 8.00 μB per cell
# raw formation energy: -5.28 eV/f.u.
# final energy: -4.63 eV per atom
data_Rb2MnBSe4
_cell_length_a 5.945
_cell_length_b 7.559
_cell_length_c 12.290
_cell_angle_alpha 84.54
_cell_angle_beta 76.00
_cell_angle_gamma 66.84
_symmetry_space_group_name_H-M 'P 1'
_symmetry_Int_Tables_number 1
loop_
_symmetry_equiv_pos_as_xyz
'x,y,z'
loop_
_atom_site_label
_atom_site_type_symbol
_atom_site_fract_x
_atom_site_fract_y
_atom_site_fract_z
Rb1 Rb 0.179 0.000 0.643
Rb2 Rb 0.821 0.000 0.357
Rb3 Rb 0.571 0.500 0.857
Rb4 Rb 0.929 0.500 0.143
Mn1 Mn 0.750 0.500 0.500
Mn2 Mn 0.000 0.000 0.000
B1 B 0.250 0.500 0.500
B2 B 0.500 0.000 0.000
Se1 Se 0.328 0.826 0.099
Se2 Se 0.253 0.174 0.901
Se3 Se 0.846 0.826 0.901
Se4 Se 0.573 0.174 0.099
Se5 Se 0.422 0.674 0.401
Se6 Se 0.497 0.326 0.599
Se7 Se 0.904 0.674 0.599
Se8 Se 0.177 0.326 0.401

[3]
# Rb2MnTcB, relaxed, DFT PBE
# space-group type: P4/mmm, No. 123
# N(E_F): 1.91 states/eV per atom
# energy relative to the elements: 1.54 eV/atom
# total magnetic moment: 5.24 μB per cell
# final energy: -4.09 eV per atom
data_Rb2MnTcB
_cell_length_a 6.714
_cell_length_b 3.961
_cell_length_c 6.714
_cell_angle_alpha 90.00
_cell_angle_beta 90.00
_cell_angle_gamma 90.00
_symmetry_space_group_name_H-M 'P 1'
_symmetry_Int_Tables_number 1
loop_
_symmetry_equiv_pos_as_xyz
'x,y,z'
loop_
_atom_site_label
_atom_site_type_symbol
_atom_site_fract_x
_atom_site_fract_y
_atom_site_fract_z
B1 B 0.000 0.500 0.000
Mn1 Mn 0.500 0.500 0.500
Tc1 Tc 0.000 0.000 0.000
Rb1 Rb 0.000 0.000 0.500
Rb2 Rb 0.500 0.000 0.000

[4]
# MnReB, relaxed, DFT PBE
# space-group type: I4mm, No. 107
# N(E_F): 0.38 states/eV per atom
# energy relative to the elements: -0.05 eV/atom
# total magnetic moment: 0.00 μB per cell
# final energy: -9.48 eV per atom
data_MnReB
_cell_length_a 2.686
_cell_length_b 2.686
_cell_length_c 4.722
_cell_angle_alpha 106.53
_cell_angle_beta 106.53
_cell_angle_gamma 90.00
_symmetry_space_group_name_H-M 'P 1'
_symmetry_Int_Tables_number 1
loop_
_symmetry_equiv_pos_as_xyz
'x,y,z'
loop_
_atom_site_label
_atom_site_type_symbol
_atom_site_fract_x
_atom_site_fract_y
_atom_site_fract_z
Re1 Re 0.627 0.627 0.254
B1 B 0.302 0.302 0.604
Mn1 Mn 0.921 0.921 0.842